DFT (GGA-PBE) results for a geometry-optimized Na2TlTeSe4 structure.

The structure in POSCAR format:
```
Na2TlTeSe4
1.0
8.500 -0.045 -0.011
-0.051 8.500 -0.011
-4.191 -4.194 5.987
Se Te Tl Na
8 2 2 4
Cartesian
2.078 1.981 0.113
0.127 4.136 2.985
1.956 6.499 -0.009
2.180 2.280 5.851
4.109 4.211 3.095
4.132 0.125 2.980
2.303 -2.237 5.973
0.149 0.051 2.869
4.310 -4.239 5.976
2.129 2.131 2.982
-0.025 4.250 -0.006
6.379 2.108 2.977
2.155 -2.119 2.988
4.250 -0.022 -0.006
-2.095 -2.097 2.994
4.225 4.228 -0.011
```

Values from the calculation:
final energy = -51.615 eV per cell
space-group type = Imma (74)
formation energy from raw total energies = -0.47 eV per atom



DFT (GGA-PBE) results for a geometry-optimized Sr2MoRu structure.

The structure in POSCAR format:
```
Sr2MoRu
1.0
4.190 -0.010 0.043
2.106 3.623 0.043
1.983 1.138 8.692
Sr Mo Ru
2 1 1
Cartesian
6.278 3.602 0.954
6.228 3.574 5.686
4.155 2.384 3.172
2.054 1.179 3.441
```

Values from the calculation:
formation energy = 0.265 eV/atom
final energy = -22.411 eV per cell
space-group type = Cm (8)
distance to the lowest polymorph of the same formula = 0 meV per atom



DFT (GGA-PBE) results for a geometry-optimized Hf2SnSb2 structure.

The structure in POSCAR format:
```
Hf2SnSb2
1.0
-6.605 -3.364 -3.516
4.643 -2.582 -6.251
0.648 -3.123 1.771
Hf Sb Sn
4 4 2
Cartesian
-1.434 -3.136 -1.248
0.121 -5.933 -6.748
2.376 -3.669 -3.581
-3.690 -5.400 -4.415
-2.578 -4.537 -7.056
1.638 -3.363 -6.529
-3.600 -2.584 -3.239
0.617 -1.409 -2.711
-0.981 -2.973 -4.884
0.000 0.000 0.000
```

Values from the calculation:
final energy = -65.499 eV per cell
space-group type = P4/mbm (127)
distance to the lowest polymorph of the same formula = 212 meV per atom
formation energy from raw total energies = -0.12 eV per atom



DFT (GGA-PBE) results for a geometry-optimized Ta2TiNbH structure.

The structure in POSCAR format:
```
Ta2TiNbH
1.0
3.955 0.000 0.000
0.000 3.955 0.000
0.000 0.000 4.794
Ti H Ta Nb
1 1 2 1
Cartesian
0.000 0.000 2.397
0.000 0.000 0.000
1.977 0.000 0.000
0.000 1.977 0.000
1.977 1.977 2.397
```

Values from the calculation:
final energy = -44.871 eV per cell
space-group type = P4/mmm (123)
distance to the lowest polymorph of the same formula = 0 meV per atom